--- P ---
{"formula": "Ag3SnHg", "functional": "PBE", "state": "relaxed", "lattice": [[-1.025, -4.165, 3.125], [5.201, -0.973, 0.408], [0.253, 3.141, 4.270]], "species": ["Ag", "Hg", "Ag", "Ag", "Sn"], "frac_coords": [[0.500, 0.000, 0.000], [0.500, 0.500, 0.500], [0.000, 0.000, 0.500], [0.000, 0.500, 0.000], [0.000, 0.000, 0.000]], "total_magnetization_mub_per_atom": 0.000, "dos_at_fermi_per_ev_cell": 3.83, "density_g_cm3": 7.1}

---

--- Q ---
{"formula": "Ag3SnHg", "functional": "PBE", "state": "relaxed", "lattice": [[5.289, 0.003, -0.064], [-0.003, 5.046, 0.000], [2.550, 0.002, 7.571]], "species": ["Sn", "Ag", "Ag", "Ag", "Ag", "Ag", "Ag", "Hg", "Sn", "Hg"], "frac_coords": [[0.291, 0.656, 0.982], [0.879, 0.656, 0.790], [0.546, 0.156, 0.788], [0.678, 0.656, 0.196], [0.347, 0.156, 0.189], [0.147, 0.156, 0.596], [0.480, 0.656, 0.597], [0.932, 0.156, 0.986], [0.735, 0.155, 0.404], [0.093, 0.656, 0.400]], "total_magnetization_mub_per_atom": 0.000, "dos_at_fermi_per_ev_cell": 2.99, "density_g_cm3": 10.5}

---

Verdict on stability: P comes out at the bottom.

---

--- P ---
{"formula": "SrAgSnHg", "functional": "PBE", "state": "relaxed", "lattice": [[5.274, 0.000, 0.000], [2.637, 4.567, 0.000], [2.637, 1.522, 4.306]], "species": ["Sn", "Sr", "Hg", "Ag"], "frac_coords": [[0.250, 0.250, 0.250], [0.750, 0.750, 0.750], [0.000, 0.000, 0.000], [0.500, 0.500, 0.500]], "total_magnetization_mub_per_atom": 0.000, "dos_at_fermi_per_ev_cell": 2.25, "density_g_cm3": 8.2}

---

--- Q ---
{"formula": "SrAgSnHg", "functional": "PBE", "state": "relaxed", "lattice": [[-3.818, -2.975, -0.339], [3.654, -0.373, -3.163], [3.707, -4.888, 1.145]], "species": ["Sn", "Ag", "Hg", "Sr"], "frac_coords": [[0.142, 0.283, 0.850], [0.819, 0.638, 0.818], [0.383, 0.766, 0.128], [0.611, 0.222, 0.443]], "total_magnetization_mub_per_atom": 0.000, "dos_at_fermi_per_ev_cell": 1.02, "density_g_cm3": 7.5}

---

Verdict on stability: P comes out at the bottom.

---

--- P ---
{"formula": "SrAg2Hg2", "functional": "PBE", "state": "relaxed", "lattice": [[5.287, 0.039, -0.049], [2.611, 4.360, 1.464], [-0.064, 0.111, 5.472]], "species": ["Ag", "Sr", "Ag", "Hg", "Hg"], "frac_coords": [[0.109, 0.267, 0.746], [0.500, 0.500, 0.000], [0.891, 0.733, 0.254], [0.237, 0.036, 0.312], [0.763, 0.964, 0.688]], "total_magnetization_mub_per_atom": 0.000, "dos_at_fermi_per_ev_cell": 1.98, "density_g_cm3": 9.4}

---

--- Q ---
{"formula": "SrAg2Hg2", "functional": "PBE", "state": "relaxed", "lattice": [[-3.379, -4.827, -1.798], [2.236, -6.116, 1.208], [-4.942, -2.527, 5.739]], "species": ["Ag", "Sr", "Hg", "Hg", "Hg", "Sr", "Ag", "Ag", "Ag", "Hg"], "frac_coords": [[0.568, 0.190, 0.942], [0.873, 0.747, 0.250], [0.774, 0.830, 0.688], [0.226, 0.170, 0.312], [0.704, 0.330, 0.189], [0.127, 0.253, 0.750], [0.703, 0.303, 0.558], [0.297, 0.697, 0.442], [0.432, 0.810, 0.058], [0.296, 0.670, 0.811]], "total_magnetization_mub_per_atom": 0.000, "dos_at_fermi_per_ev_cell": 4.05, "density_g_cm3": 8.9}

---

--- R ---
{"formula": "SrAg2Hg2", "functional": "PBE", "state": "relaxed", "lattice": [[8.114, 0.000, 0.000], [0.000, 8.114, 0.000], [0.000, 0.000, 3.755]], "species": ["Ag", "Ag", "Hg", "Ag", "Hg", "Hg", "Sr", "Sr", "Hg", "Ag"], "frac_coords": [[0.622, 0.122, 0.000], [0.878, 0.622, 0.000], [0.673, 0.827, 0.500], [0.378, 0.878, 0.000], [0.827, 0.327, 0.500], [0.327, 0.173, 0.500], [0.500, 0.500, 0.000], [0.000, 0.000, 0.000], [0.173, 0.673, 0.500], [0.122, 0.378, 0.000]], "total_magnetization_mub_per_atom": 0.000, "dos_at_fermi_per_ev_cell": 3.71, "density_g_cm3": 9.5}

---

--- S ---
{"formula": "SrAg2Hg2", "functional": "PBE", "state": "relaxed", "lattice": [[-3.220, 2.138, 7.383], [3.937, -6.417, 3.575], [2.819, 2.079, 0.627]], "species": ["Hg", "Ag", "Hg", "Sr", "Sr", "Hg", "Ag", "Ag", "Hg", "Ag"], "frac_coords": [[0.874, 0.626, 0.000], [0.328, 0.172, 0.500], [0.626, 0.126, 0.000], [0.000, 0.000, 0.000], [0.500, 0.500, 0.000], [0.126, 0.374, 0.000], [0.672, 0.828, 0.500], [0.828, 0.328, 0.500], [0.374, 0.874, 0.000], [0.172, 0.672, 0.500]], "total_magnetization_mub_per_atom": 0.000, "dos_at_fermi_per_ev_cell": 2.95, "density_g_cm3": 9.5}

---

Verdict on stability: S comes out at the bottom.

---

--- P ---
{"formula": "Sr4AgHg2", "functional": "PBE", "state": "relaxed", "lattice": [[-5.261, -1.974, 3.975], [1.701, -5.117, -4.278], [5.415, 1.558, 3.953]], "species": ["Sr", "Sr", "Sr", "Sr", "Hg", "Ag", "Hg"], "frac_coords": [[0.000, 0.500, 0.000], [0.500, 0.500, 0.500], [0.000, 0.000, 0.500], [0.500, 0.000, 0.000], [0.500, 0.500, 0.000], [0.000, 0.000, 0.000], [0.500, 0.000, 0.500]], "total_magnetization_mub_per_atom": 0.000, "dos_at_fermi_per_ev_cell": 6.98, "density_g_cm3": 5.7}

---

--- Q ---
{"formula": "Sr4AgHg2", "functional": "PBE", "state": "relaxed", "lattice": [[6.056, 0.000, 0.000], [0.000, 6.056, 0.000], [-3.028, -3.028, 8.073]], "species": ["Hg", "Ag", "Sr", "Sr", "Hg", "Sr", "Sr"], "frac_coords": [[0.599, 0.599, 0.198], [0.000, 0.000, 0.000], [0.000, 0.500, 0.000], [0.500, 0.000, 0.000], [0.401, 0.401, 0.802], [0.802, 0.802, 0.603], [0.198, 0.198, 0.397]], "total_magnetization_mub_per_atom": 0.000, "dos_at_fermi_per_ev_cell": 7.41, "density_g_cm3": 4.8}

---

Verdict on stability: Q comes out at the bottom.

---

--- P ---
{"formula": "SrAgHg4", "functional": "PBE", "state": "relaxed", "lattice": [[5.105, 0.000, -1.596], [0.000, 7.166, 0.000], [-0.095, 0.000, 8.661]], "species": ["Ag", "Hg", "Hg", "Hg", "Ag", "Sr", "Hg", "Sr", "Hg", "Hg", "Hg", "Hg"], "frac_coords": [[0.348, 0.220, 0.696], [0.648, 0.125, 0.296], [0.789, 0.431, 0.578], [0.523, 0.445, 0.046], [0.652, 0.720, 0.304], [0.836, 0.923, 0.672], [0.965, 0.290, 0.931], [0.164, 0.423, 0.328], [0.477, 0.945, 0.954], [0.035, 0.790, 0.069], [0.211, 0.931, 0.422], [0.352, 0.625, 0.704]], "total_magnetization_mub_per_atom": 0.000, "dos_at_fermi_per_ev_cell": 3.95, "density_g_cm3": 10.5}

---

--- Q ---
{"formula": "SrAgHg4", "functional": "PBE", "state": "relaxed", "lattice": [[5.612, 0.000, -0.724], [0.000, 7.634, 0.000], [-2.550, -3.817, 7.710]], "species": ["Hg", "Sr", "Hg", "Ag", "Hg", "Ag", "Hg", "Hg", "Hg", "Sr", "Hg", "Hg"], "frac_coords": [[0.340, 0.075, 0.762], [0.268, 0.211, 0.421], [0.000, 0.808, 0.000], [0.660, 0.451, 0.902], [0.660, 0.925, 0.238], [0.340, 0.549, 0.098], [0.924, 0.334, 0.669], [0.000, 0.192, 0.000], [0.340, 0.686, 0.762], [0.732, 0.789, 0.579], [0.076, 0.666, 0.331], [0.660, 0.314, 0.238]], "total_magnetization_mub_per_atom": 0.000, "dos_at_fermi_per_ev_cell": 3.83, "density_g_cm3": 10.5}

---

--- R ---
{"formula": "SrAgHg4", "functional": "PBE", "state": "relaxed", "lattice": [[0.000, 4.289, 4.289], [4.289, 0.000, 4.289], [4.289, 4.289, 0.000]], "species": ["Sr", "Hg", "Hg", "Hg", "Ag", "Hg"], "frac_coords": [[0.750, 0.750, 0.750], [0.374, 0.374, 0.374], [0.374, 0.374, 0.877], [0.877, 0.374, 0.374], [0.000, 0.000, 0.000], [0.374, 0.877, 0.374]], "total_magnetization_mub_per_atom": 0.000, "dos_at_fermi_per_ev_cell": 3.96, "density_g_cm3": 10.5}

---

Verdict on stability: R comes out at the bottom.

---

--- P ---
{"formula": "SrAgHg3", "functional": "PBE", "state": "relaxed", "lattice": [[5.380, 0.000, 0.000], [0.000, 5.380, 0.000], [0.000, 0.000, 5.380]], "species": ["Hg", "Hg", "Sr", "Hg", "Ag"], "frac_coords": [[0.000, 0.000, 0.500], [0.500, 0.000, 0.000], [0.500, 0.500, 0.500], [0.000, 0.500, 0.000], [0.000, 0.000, 0.000]], "total_magnetization_mub_per_atom": 0.000, "dos_at_fermi_per_ev_cell": 2.38, "density_g_cm3": 8.5}

---

--- Q ---
{"formula": "SrAgHg3", "functional": "PBE", "state": "relaxed", "lattice": [[-6.149, 1.224, 1.125], [-1.299, -7.151, 0.683], [1.632, 3.196, 5.443]], "species": ["Hg", "Hg", "Hg", "Sr", "Hg", "Hg", "Ag", "Sr", "Ag", "Hg"], "frac_coords": [[0.000, 0.000, 0.254], [0.250, 0.302, 0.151], [0.500, 0.000, 0.254], [0.750, 0.499, 0.249], [0.500, 0.000, 0.746], [0.000, 0.000, 0.746], [0.750, 0.278, 0.639], [0.250, 0.501, 0.751], [0.250, 0.722, 0.361], [0.750, 0.698, 0.849]], "total_magnetization_mub_per_atom": 0.000, "dos_at_fermi_per_ev_cell": 5.74, "density_g_cm3": 9.8}

---

--- R ---
{"formula": "SrAgHg3", "functional": "PBE", "state": "relaxed", "lattice": [[-1.879, 5.804, -1.507], [-5.531, -2.287, -1.913], [-2.316, 0.754, 5.793]], "species": ["Hg", "Hg", "Sr", "Ag", "Hg"], "frac_coords": [[0.000, 0.500, 0.000], [0.500, 0.000, 0.000], [0.000, 0.000, 0.000], [0.500, 0.500, 0.500], [0.000, 0.000, 0.500]], "total_magnetization_mub_per_atom": 0.000, "dos_at_fermi_per_ev_cell": 2.12, "density_g_cm3": 5.3}

---

Verdict on stability: R comes out at the bottom.

---

--- P ---
{"formula": "Sr7Ag2Hg2", "functional": "PBE", "state": "relaxed", "lattice": [[7.564, -0.003, -1.005], [0.003, 8.054, 0.004], [-1.474, -0.003, 7.487]], "species": ["Ag", "Ag", "Sr", "Hg", "Sr", "Sr", "Sr", "Sr", "Sr", "Hg", "Sr"], "frac_coords": [[0.290, 0.000, 0.710], [0.710, 0.000, 0.290], [0.500, 0.745, 0.500], [0.179, 0.500, 0.179], [0.000, 0.000, 0.000], [0.000, 0.731, 0.500], [0.000, 0.269, 0.500], [0.500, 0.269, 0.000], [0.500, 0.255, 0.500], [0.821, 0.500, 0.821], [0.500, 0.731, 0.000]], "total_magnetization_mub_per_atom": 0.000, "dos_at_fermi_per_ev_cell": 10.26, "density_g_cm3": 4.6}

---

--- Q ---
{"formula": "Sr7Ag2Hg2", "functional": "PBE", "state": "relaxed", "lattice": [[4.392, 0.000, 0.942], [1.200, 9.120, 5.114], [0.040, -0.144, 10.523]], "species": ["Sr", "Sr", "Hg", "Sr", "Hg", "Sr", "Sr", "Sr", "Ag", "Sr", "Ag"], "frac_coords": [[0.137, 0.131, 0.595], [0.184, 0.710, 0.922], [0.500, 0.341, 0.659], [0.863, 0.405, 0.869], [0.000, 0.771, 0.229], [0.500, 0.012, 0.988], [0.386, 0.716, 0.512], [0.614, 0.488, 0.284], [0.740, 0.860, 0.660], [0.816, 0.078, 0.290], [0.260, 0.340, 0.140]], "total_magnetization_mub_per_atom": 0.000, "dos_at_fermi_per_ev_cell": 8.93, "density_g_cm3": 4.8}

---

Verdict on stability: P comes out at the bottom.

---

--- P ---
{"formula": "SrZnAg2Hg", "functional": "PBE", "state": "relaxed", "lattice": [[5.046, 0.000, 0.000], [0.000, 5.046, 0.000], [0.000, 0.000, 5.083]], "species": ["Ag", "Zn", "Sr", "Hg", "Ag"], "frac_coords": [[0.500, 0.000, 0.000], [0.000, 0.000, 0.000], [0.500, 0.500, 0.500], [0.000, 0.000, 0.500], [0.000, 0.500, 0.000]], "total_magnetization_mub_per_atom": 0.000, "dos_at_fermi_per_ev_cell": 2.56, "density_g_cm3": 7.3}

---

--- Q ---
{"formula": "SrZnAg2Hg", "functional": "PBE", "state": "relaxed", "lattice": [[-0.144, -4.119, 2.006], [0.224, -2.027, -4.144], [5.638, 3.032, 1.396]], "species": ["Ag", "Ag", "Zn", "Hg", "Sr"], "frac_coords": [[0.048, 0.048, 0.097], [0.701, 0.201, 0.401], [0.824, 0.824, 0.648], [0.196, 0.696, 0.392], [0.443, 0.443, 0.886]], "total_magnetization_mub_per_atom": 0.000, "dos_at_fermi_per_ev_cell": 1.64, "density_g_cm3": 7.9}

---

Verdict on stability: P comes out at the bottom.